Version one
Here is Sc3ReF after structural relaxation from Alexandria via LeMat-Bulk. Energies are from PBE.

a = 4.385 Å, b = 4.385 Å, c = 4.385 Å
α = 90.00°, β = 90.00°, γ = 90.00°
Fractional coordinates of all 5 atoms:
Sc  0.000  0.000  0.500
Sc  0.000  0.500  0.000
Sc  0.500  0.000  0.000
Re  0.500  0.500  0.500
F  0.000  0.000  0.000

Computed properties:
V   84.3 Å³ per cell
DOS at the Fermi energy   5.5 states/eV per cell
Magnetization   0.00 Bohr magnetons per cell


Version two
Here is Sc3ReF after structural relaxation from Alexandria via LeMat-Bulk. Energies are from PBE.

a = 5.092 Å, b = 5.092 Å, c = 5.092 Å
α = 90.00°, β = 90.00°, γ = 90.00°
Fractional coordinates of all 5 atoms:
Sc  0.000  0.000  0.500
Sc  0.000  0.500  0.000
Sc  0.500  0.000  0.000
Re  0.000  0.000  0.000
F  0.500  0.500  0.500

Computed properties:
V   132.0 Å³ per cell
DOS at the Fermi energy   5.3 states/eV per cell
Magnetization   0.00 Bohr magnetons per cell


List of relative energies, unit kJ/mol of atoms: version one 0.0; version two 75.7


Version one
Here is ScReF3 after structural relaxation from Alexandria via LeMat-Bulk. Energies are from PBE.

a = 4.288 Å, b = 4.288 Å, c = 4.288 Å
α = 90.00°, β = 90.00°, γ = 90.00°
Fractional coordinates of all 5 atoms:
Sc  0.000  0.000  0.000
Re  0.500  0.500  0.500
F  0.000  0.000  0.500
F  0.000  0.500  0.000
F  0.500  0.000  0.000

Computed properties:
V   78.8 Å³ per cell
DOS at the Fermi energy   3.9 states/eV per cell
Magnetization   5.00 Bohr magnetons per cell


Version two
Here is ScReF3 after structural relaxation from Alexandria via LeMat-Bulk. Energies are from PBE.

a = 4.241 Å, b = 4.241 Å, c = 4.241 Å
α = 90.00°, β = 90.00°, γ = 90.00°
Fractional coordinates of all 5 atoms:
Sc  0.000  0.000  0.000
Re  0.500  0.500  0.500
F  0.000  0.500  0.500
F  0.500  0.000  0.500
F  0.500  0.500  0.000

Computed properties:
V   76.3 Å³ per cell
DOS at the Fermi energy   7.1 states/eV per cell
Magnetization   0.23 Bohr magnetons per cell


List of relative energies, unit kJ/mol of atoms: version one 0.0; version two 76.0


Version one
Here is ReSe2F after structural relaxation from Alexandria via LeMat-Bulk. Energies are from PBE.

a = 6.552 Å, b = 6.552 Å, c = 6.552 Å
α = 124.90°, β = 124.90°, γ = 81.71°
Fractional coordinates of all 8 atoms:
Re  0.000  0.000  0.000
Re  0.750  0.250  0.500
Se  0.092  0.625  0.967
Se  0.375  0.342  0.467
Se  0.658  0.125  0.033
Se  0.875  0.908  0.533
F  0.250  0.750  0.500
F  0.500  0.500  0.000

Computed properties:
V   182.1 Å³ per cell
DOS at the Fermi energy   3.2 states/eV per cell
Magnetization   0.00 Bohr magnetons per cell


Version two
Here is ReSe2F after structural relaxation from Alexandria via LeMat-Bulk. Energies are from PBE.

a = 4.393 Å, b = 4.393 Å, c = 4.393 Å
α = 60.00°, β = 60.00°, γ = 60.00°
Fractional coordinates of all 4 atoms:
Re  0.000  0.000  0.000
Se  0.250  0.250  0.250
Se  0.750  0.750  0.750
F  0.500  0.500  0.500

Computed properties:
V   59.9 Å³ per cell
DOS at the Fermi energy   2.5 states/eV per cell
Magnetization   1.61 Bohr magnetons per cell


Version three
Here is ReSe2F after structural relaxation from Alexandria via LeMat-Bulk. Energies are from PBE.

a = 9.311 Å, b = 9.311 Å, c = 9.311 Å
α = 17.43°, β = 17.43°, γ = 17.43°
Fractional coordinates of all 4 atoms:
Re  0.000  0.000  0.000
Se  0.092  0.092  0.092
Se  0.908  0.908  0.908
F  0.500  0.500  0.500

Computed properties:
V   63.2 Å³ per cell
DOS at the Fermi energy   3.8 states/eV per cell
Magnetization   0.00 Bohr magnetons per cell


List of relative energies, unit kJ/mol of atoms: version one 0.0; version two 6.5; version three 36.1


Version one
Here is ReSe3F after structural relaxation from Alexandria via LeMat-Bulk. Energies are from PBE.

a = 4.834 Å, b = 4.834 Å, c = 4.834 Å
α = 90.00°, β = 90.00°, γ = 90.00°
Fractional coordinates of all 5 atoms:
Re  0.000  0.000  0.000
Se  0.000  0.000  0.500
Se  0.000  0.500  0.000
Se  0.500  0.000  0.000
F  0.500  0.500  0.500

Computed properties:
V   113.0 Å³ per cell
DOS at the Fermi energy   4.0 states/eV per cell
Magnetization   0.00 Bohr magnetons per cell


Version two
Here is ReSe3F after structural relaxation from Alexandria via LeMat-Bulk. Energies are from PBE.

a = 4.633 Å, b = 7.532 Å, c = 8.781 Å
α = 105.39°, β = 104.94°, γ = 90.02°
Fractional coordinates of all 10 atoms:
Re  0.176  0.307  0.348
Re  0.824  0.693  0.652
Se  0.032  0.271  0.072
Se  0.198  0.024  0.393
Se  0.308  0.559  0.620
Se  0.692  0.441  0.380
Se  0.802  0.976  0.607
Se  0.968  0.729  0.928
F  0.379  0.260  0.995
F  0.621  0.740  0.005

Computed properties:
V   284.7 Å³ per cell
DOS at the Fermi energy   0.0 states/eV per cell
Magnetization   0.00 Bohr magnetons per cell


Version three
Here is ReSe3F after structural relaxation from Alexandria via LeMat-Bulk. Energies are from PBE.

a = 4.471 Å, b = 4.471 Å, c = 4.471 Å
α = 90.00°, β = 90.00°, γ = 90.00°
Fractional coordinates of all 5 atoms:
Re  0.000  0.000  0.000
Se  0.000  0.500  0.500
Se  0.500  0.000  0.500
Se  0.500  0.500  0.000
F  0.500  0.500  0.500

Computed properties:
V   89.4 Å³ per cell
DOS at the Fermi energy   5.8 states/eV per cell
Magnetization   0.00 Bohr magnetons per cell


List of relative energies, unit kJ/mol of atoms: version one 56.1; version two 0.0; version three 153.2


Version one
Here is ReSeF2 after structural relaxation from Alexandria via LeMat-Bulk. Energies are from PBE.

a = 4.276 Å, b = 4.276 Å, c = 4.276 Å
α = 60.00°, β = 60.00°, γ = 60.00°
Fractional coordinates of all 4 atoms:
Re  0.000  0.000  0.000
Se  0.500  0.500  0.500
F  0.250  0.250  0.250
F  0.750  0.750  0.750

Computed properties:
V   55.3 Å³ per cell
DOS at the Fermi energy   1.3 states/eV per cell
Magnetization   2.99 Bohr magnetons per cell


Version two
Here is ReSeF2 after structural relaxation from Alexandria via LeMat-Bulk. Energies are from PBE.

a = 8.437 Å, b = 8.437 Å, c = 8.437 Å
α = 154.49°, β = 154.49°, γ = 36.39°
Fractional coordinates of all 8 atoms:
Re  0.000  0.000  0.000
Re  0.750  0.250  0.500
Se  0.250  0.750  0.500
Se  0.500  0.500  0.000
F  0.059  0.625  0.934
F  0.375  0.309  0.434
F  0.691  0.125  0.066
F  0.875  0.941  0.566

Computed properties:
V   111.2 Å³ per cell
DOS at the Fermi energy   4.1 states/eV per cell
Magnetization   3.65 Bohr magnetons per cell


Version three
Here is ReSeF2 after structural relaxation from Alexandria via LeMat-Bulk. Energies are from PBE.

a = 10.496 Å, b = 10.496 Å, c = 10.496 Å
α = 15.10°, β = 15.10°, γ = 15.10°
Fractional coordinates of all 4 atoms:
Re  0.000  0.000  0.000
Se  0.500  0.500  0.500
F  0.061  0.061  0.061
F  0.939  0.939  0.939

Computed properties:
V   68.3 Å³ per cell
DOS at the Fermi energy   2.6 states/eV per cell
Magnetization   0.00 Bohr magnetons per cell


List of relative energies, unit kJ/mol of atoms: version one 106.6; version two 58.2; version three 0.0


Version one
Here is Re2SiF after structural relaxation from Alexandria via LeMat-Bulk. Energies are from PBE.

a = 4.179 Å, b = 4.179 Å, c = 4.179 Å
α = 60.00°, β = 60.00°, γ = 60.00°
Fractional coordinates of all 4 atoms:
Re  0.250  0.250  0.250
Re  0.750  0.750  0.750
Si  0.000  0.000  0.000
F  0.500  0.500  0.500

Computed properties:
V   51.6 Å³ per cell
DOS at the Fermi energy   4.1 states/eV per cell
Magnetization   0.00 Bohr magnetons per cell


Version two
Here is Re2SiF after structural relaxation from Alexandria via LeMat-Bulk. Energies are from PBE.

a = 5.254 Å, b = 5.254 Å, c = 5.254 Å
α = 105.14°, β = 105.14°, γ = 118.53°
Fractional coordinates of all 8 atoms:
Re  0.088  0.125  0.463
Re  0.375  0.912  0.037
Re  0.662  0.625  0.537
Re  0.875  0.338  0.963
Si  0.250  0.750  0.500
Si  0.500  0.500  0.000
F  0.000  0.000  0.000
F  0.750  0.250  0.500

Computed properties:
V   109.5 Å³ per cell
DOS at the Fermi energy   8.3 states/eV per cell
Magnetization   0.00 Bohr magnetons per cell


List of relative energies, unit kJ/mol of atoms: version one 0.0; version two 35.6


Version one
Here is ReSi3F after structural relaxation from Alexandria via LeMat-Bulk. Energies are from PBE.

a = 4.111 Å, b = 4.111 Å, c = 4.111 Å
α = 90.00°, β = 90.00°, γ = 90.00°
Fractional coordinates of all 5 atoms:
Re  0.000  0.000  0.000
Si  0.000  0.500  0.500
Si  0.500  0.000  0.500
Si  0.500  0.500  0.000
F  0.500  0.500  0.500

Computed properties:
V   69.5 Å³ per cell
DOS at the Fermi energy   3.2 states/eV per cell
Magnetization   0.00 Bohr magnetons per cell


Version two
Here is ReSi3F after structural relaxation from Alexandria via LeMat-Bulk. Energies are from PBE.

a = 4.632 Å, b = 4.632 Å, c = 4.632 Å
α = 90.00°, β = 90.00°, γ = 90.00°
Fractional coordinates of all 5 atoms:
Re  0.000  0.000  0.000
Si  0.000  0.000  0.500
Si  0.000  0.500  0.000
Si  0.500  0.000  0.000
F  0.500  0.500  0.500

Computed properties:
V   99.4 Å³ per cell
DOS at the Fermi energy   0.0 states/eV per cell
Magnetization   0.00 Bohr magnetons per cell


List of relative energies, unit kJ/mol of atoms: version one 83.4; version two 0.0


Version one
Here is ReSn2F after structural relaxation from Alexandria via LeMat-Bulk. Energies are from PBE.

a = 7.361 Å, b = 7.361 Å, c = 7.361 Å
α = 134.54°, β = 134.54°, γ = 66.24°
Fractional coordinates of all 8 atoms:
Re  0.000  0.000  0.000
Re  0.750  0.250  0.500
Sn  0.139  0.625  0.014
Sn  0.375  0.389  0.514
Sn  0.611  0.125  0.986
Sn  0.875  0.861  0.486
F  0.250  0.750  0.500
F  0.500  0.500  0.000

Computed properties:
V   199.5 Å³ per cell
DOS at the Fermi energy   4.1 states/eV per cell
Magnetization   0.00 Bohr magnetons per cell


Version two
Here is ReSn2F after structural relaxation from Alexandria via LeMat-Bulk. Energies are from PBE.

a = 4.707 Å, b = 4.707 Å, c = 4.707 Å
α = 60.00°, β = 60.00°, γ = 60.00°
Fractional coordinates of all 4 atoms:
Re  0.000  0.000  0.000
Sn  0.250  0.250  0.250
Sn  0.750  0.750  0.750
F  0.500  0.500  0.500

Computed properties:
V   73.8 Å³ per cell
DOS at the Fermi energy   3.9 states/eV per cell
Magnetization   1.17 Bohr magnetons per cell


List of relative energies, unit kJ/mol of atoms: version one 13.8; version two 0.0


Version one
Here is ReSn3F after structural relaxation from Alexandria via LeMat-Bulk. Energies are from PBE.

a = 5.138 Å, b = 5.138 Å, c = 5.138 Å
α = 90.00°, β = 90.00°, γ = 90.00°
Fractional coordinates of all 5 atoms:
Re  0.000  0.000  0.000
Sn  0.000  0.000  0.500
Sn  0.000  0.500  0.000
Sn  0.500  0.000  0.000
F  0.500  0.500  0.500

Computed properties:
V   135.6 Å³ per cell
DOS at the Fermi energy   0.0 states/eV per cell
Magnetization   0.00 Bohr magnetons per cell


Version two
Here is ReSn3F after structural relaxation from Alexandria via LeMat-Bulk. Energies are from PBE.

a = 4.765 Å, b = 4.765 Å, c = 4.765 Å
α = 90.00°, β = 90.00°, γ = 90.00°
Fractional coordinates of all 5 atoms:
Re  0.000  0.000  0.000
Sn  0.000  0.500  0.500
Sn  0.500  0.000  0.500
Sn  0.500  0.500  0.000
F  0.500  0.500  0.500

Computed properties:
V   108.2 Å³ per cell
DOS at the Fermi energy   3.6 states/eV per cell
Magnetization   2.13 Bohr magnetons per cell


List of relative energies, unit kJ/mol of atoms: version one 0.0; version two 72.6


Version one
Here is Re2SnF after structural relaxation from Alexandria via LeMat-Bulk. Energies are from PBE.

a = 5.652 Å, b = 5.652 Å, c = 5.652 Å
α = 100.89°, β = 100.89°, γ = 128.49°
Fractional coordinates of all 8 atoms:
Re  0.059  0.625  0.934
Re  0.375  0.309  0.434
Re  0.691  0.125  0.066
Re  0.875  0.941  0.566
Sn  0.250  0.750  0.500
Sn  0.500  0.500  0.000
F  0.000  0.000  0.000
F  0.750  0.250  0.500

Computed properties:
V   127.3 Å³ per cell
DOS at the Fermi energy   8.6 states/eV per cell
Magnetization   0.00 Bohr magnetons per cell


Version two
Here is Re2SnF after structural relaxation from Alexandria via LeMat-Bulk. Energies are from PBE.

a = 4.474 Å, b = 4.474 Å, c = 4.474 Å
α = 60.00°, β = 60.00°, γ = 60.00°
Fractional coordinates of all 4 atoms:
Re  0.250  0.250  0.250
Re  0.750  0.750  0.750
Sn  0.000  0.000  0.000
F  0.500  0.500  0.500

Computed properties:
V   63.3 Å³ per cell
DOS at the Fermi energy   4.3 states/eV per cell
Magnetization   2.80 Bohr magnetons per cell


List of relative energies, unit kJ/mol of atoms: version one 0.0; version two 15.1